! LaPt2Pb PBE optimized geometry; values from VASP
&SYSTEM
  ibrav = 0, nat = 8, ntyp = 3
/
ATOMIC_SPECIES
Pt 195.08 Pt.upf
Pb 207.20 Pb.upf
La 138.91 La.upf
CELL_PARAMETERS angstrom
5.756 0.000 0.000
0.000 5.756 0.000
2.878 2.878 7.501
ATOMIC_POSITIONS crystal
Pt 0.646 0.125 0.250
Pb 0.000 0.000 0.000
La 0.500 0.500 0.000
La 0.250 0.750 0.500
Pt 0.375 0.354 0.750
Pt 0.875 0.896 0.750
Pb 0.750 0.250 0.500
Pt 0.104 0.625 0.250
! Raw total energy ... -5.586 eV per atom
! Space-group type ... No. 122
! ΔH_f (0 K) ... -39.3 kJ per mole of atoms
! Crystal system ... tetragonal